(1)
Compound: Ti2TlCdAg
Source: the Alexandria database
Functional: PBE-GGA
Structure: optimized geometry

Unit cell a=4.956 b=4.956 c=5.068 alpha=90.00 beta=90.00 gamma=90.00
Element x y z (fractional)
Ti (0.000, 0.500, 0.000)
Ti (0.500, 0.000, 0.000)
Tl (0.000, 0.000, 0.500)
Cd (0.500, 0.500, 0.500)
Ag (0.500, 0.500, 0.000)

- space-group type = P4/mmm (123)
- formation energy from the elements (eV/atom) = 0.809
- E (eV per atom) = -3.575
- DOS at the Fermi energy (states/eV/cell) = 5.92

---

(2)
Compound: TiZnCdAg
Source: the Alexandria database
Functional: PBE-GGA
Structure: optimized geometry

Unit cell a=2.953 b=2.953 c=8.022 alpha=90.00 beta=90.00 gamma=90.00
Element x y z (fractional)
Ti (0.000, 0.000, 0.000)
Zn (0.500, 0.500, 0.224)
Cd (0.500, 0.500, 0.725)
Ag (0.000, 0.000, 0.452)

- space-group type = P4mm (99)
- formation energy from the elements (eV/atom) = -0.072
- E (eV per atom) = -3.305
- DOS at the Fermi energy (states/eV/cell) = 2.12

---

(3)
Compound: TlCd2Ag2
Source: the Alexandria database
Functional: PBE-GGA
Structure: optimized geometry

Unit cell a=7.662 b=7.662 c=7.662 alpha=149.10 beta=149.10 gamma=44.26
Element x y z (fractional)
Tl (0.000, 0.000, 0.000)
Cd (0.396, 0.396, 0.000)
Cd (0.604, 0.604, 0.000)
Ag (0.250, 0.750, 0.500)
Ag (0.750, 0.250, 0.500)

- space-group type = I4/mmm (139)
- formation energy from the elements (eV/atom) = 0.078
- E (eV per atom) = -1.902
- offset from the most stable computed form (meV/atom) = 68.5
- DOS at the Fermi energy (states/eV/cell) = 1.99

---

(4)
Compound: TlCd2Ag
Source: the Alexandria database
Functional: PBE-GGA
Structure: optimized geometry

Unit cell a=6.356 b=6.356 c=6.356 alpha=150.76 beta=130.96 gamma=58.13
Element x y z (fractional)
Tl (0.000, 0.000, 0.000)
Cd (0.457, 0.457, 0.000)
Cd (0.715, 0.215, 0.500)
Ag (0.240, 0.740, 0.500)

- space-group type = Imm2 (44)
- formation energy from the elements (eV/atom) = 0.076
- E (eV per atom) = -1.686
- offset from the most stable computed form (meV/atom) = 53.7
- DOS at the Fermi energy (states/eV/cell) = 1.36

---

(5)
Compound: TlCd2Ag
Source: the Alexandria database
Functional: PBE-GGA
Structure: optimized geometry

Unit cell a=5.095 b=5.095 c=5.095 alpha=60.00 beta=60.00 gamma=60.00
Element x y z (fractional)
Tl (0.000, 0.000, 0.000)
Cd (0.500, 0.500, 0.500)
Cd (0.750, 0.750, 0.750)
Ag (0.250, 0.250, 0.250)

- space-group type = F-43m (216)
- formation energy from the elements (eV/atom) = 0.113
- E (eV per atom) = -1.649
- offset from the most stable computed form (meV/atom) = 90.3
- DOS at the Fermi energy (states/eV/cell) = 1.74

---

(6)
Compound: TlCd5Ag4
Source: the Alexandria database
Functional: PBE-GGA
Structure: optimized geometry

Unit cell a=3.153 b=3.153 c=21.096 alpha=90.00 beta=90.00 gamma=90.00
Element x y z (fractional)
Tl (0.000, 0.000, 0.000)
Cd (0.500, 0.500, 0.126)
Cd (0.500, 0.500, 0.313)
Cd (0.500, 0.500, 0.500)
Cd (0.500, 0.500, 0.687)
Cd (0.500, 0.500, 0.874)
Ag (0.000, 0.000, 0.219)
Ag (0.000, 0.000, 0.407)
Ag (0.000, 0.000, 0.593)
Ag (0.000, 0.000, 0.781)

- space-group type = P4/mmm (123)
- formation energy from the elements (eV/atom) = -0.015
- E (eV per atom) = -1.849
- DOS at the Fermi energy (states/eV/cell) = 3.10

---

(7)
Compound: Tl2CdAg
Source: the Alexandria database
Functional: PBE-GGA
Structure: optimized geometry

Unit cell a=7.557 b=7.557 c=7.557 alpha=154.89 beta=143.44 gamma=44.87
Element x y z (fractional)
Tl (0.187, 0.187, 0.000)
Tl (0.813, 0.813, 0.000)
Cd (0.500, 0.000, 0.500)
Ag (0.000, 0.500, 0.500)

- space-group type = Immm (71)
- formation energy from the elements (eV/atom) = 0.080
- E (eV per atom) = -2.045
- offset from the most stable computed form (meV/atom) = 24.6
- DOS at the Fermi energy (states/eV/cell) = 1.82

---

(8)
Compound: Tl2CdAg4
Source: the Alexandria database
Functional: PBE-GGA
Structure: optimized geometry

Unit cell a=8.119 b=8.119 c=8.119 alpha=142.24 beta=142.24 gamma=54.47
Element x y z (fractional)
Tl (0.121, 0.121, 0.000)
Tl (0.879, 0.879, 0.000)
Cd (0.500, 0.500, 0.000)
Ag (0.000, 0.500, 0.500)
Ag (0.313, 0.313, 0.000)
Ag (0.500, 0.000, 0.500)
Ag (0.687, 0.687, 0.000)

- space-group type = I4/mmm (139)
- formation energy from the elements (eV/atom) = 0.401
- E (eV per atom) = -2.035
- DOS at the Fermi energy (states/eV/cell) = 3.13

---

(9)
Compound: TlCd2Ag2
Source: the Alexandria database
Functional: PBE-GGA
Structure: optimized geometry

Unit cell a=8.542 b=8.542 c=3.062 alpha=90.00 beta=90.00 gamma=90.00
Element x y z (fractional)
Tl (0.000, 0.000, 0.000)
Tl (0.500, 0.500, 0.000)
Cd (0.127, 0.373, 0.000)
Cd (0.373, 0.873, 0.000)
Cd (0.627, 0.127, 0.000)
Cd (0.873, 0.627, 0.000)
Ag (0.170, 0.670, 0.500)
Ag (0.330, 0.170, 0.500)
Ag (0.670, 0.830, 0.500)
Ag (0.830, 0.330, 0.500)

- space-group type = P4/mbm (127)
- formation energy from the elements (eV/atom) = 0.021
- E (eV per atom) = -1.959
- offset from the most stable computed form (meV/atom) = 11.1
- DOS at the Fermi energy (states/eV/cell) = 2.99

---

(10)
Compound: Tl2Cd2Ag
Source: the Alexandria database
Functional: PBE-GGA
Structure: optimized geometry

Unit cell a=9.033 b=9.033 c=9.033 alpha=154.27 beta=154.27 gamma=36.71
Element x y z (fractional)
Tl (0.092, 0.092, 0.000)
Tl (0.908, 0.908, 0.000)
Cd (0.250, 0.750, 0.500)
Cd (0.750, 0.250, 0.500)
Ag (0.500, 0.500, 0.000)

- space-group type = I4/mmm (139)
- formation energy from the elements (eV/atom) = 0.192
- E (eV per atom) = -1.691
- offset from the most stable computed form (meV/atom) = 92.6
- DOS at the Fermi energy (states/eV/cell) = 2.05

---

(11)
Compound: TlCd2Ag
Source: the Alexandria database
Functional: PBE-GGA
Structure: optimized geometry

Unit cell a=5.526 b=5.526 c=5.526 alpha=132.04 beta=132.04 gamma=70.17
Element x y z (fractional)
Tl (0.000, 0.000, 0.000)
Cd (0.250, 0.750, 0.500)
Cd (0.750, 0.250, 0.500)
Ag (0.500, 0.500, 0.000)

- space-group type = I4/mmm (139)
- formation energy from the elements (eV/atom) = 0.077
- E (eV per atom) = -1.685
- offset from the most stable computed form (meV/atom) = 54.5
- DOS at the Fermi energy (states/eV/cell) = 0.75

---

(12)
Compound: TlCd2Ag
Source: the Alexandria database
Functional: PBE-GGA
Structure: optimized geometry

Unit cell a=3.289 b=3.289 c=8.591 alpha=90.00 beta=90.00 gamma=90.00
Element x y z (fractional)
Tl (0.000, 0.000, 0.000)
Cd (0.000, 0.000, 0.469)
Cd (0.500, 0.500, 0.716)
Ag (0.500, 0.500, 0.257)

- space-group type = P4mm (99)
- formation energy from the elements (eV/atom) = 0.050
- E (eV per atom) = -1.712
- offset from the most stable computed form (meV/atom) = 27.4
- DOS at the Fermi energy (states/eV/cell) = 1.59

---

(13)
Compound: TlCdAg3
Source: the Alexandria database
Functional: PBE-GGA
Structure: optimized geometry

Unit cell a=5.258 b=5.258 c=5.258 alpha=90.00 beta=90.00 gamma=90.00
Element x y z (fractional)
Tl (0.000, 0.000, 0.000)
Cd (0.500, 0.500, 0.500)
Ag (0.000, 0.500, 0.500)
Ag (0.500, 0.000, 0.500)
Ag (0.500, 0.500, 0.000)

- space-group type = Pm-3m (221)
- formation energy from the elements (eV/atom) = 0.465
- E (eV per atom) = -1.902
- offset from the most stable computed form (meV/atom) = 0.0
- DOS at the Fermi energy (states/eV/cell) = 1.80

---

(14)
Compound: TlCd4Ag7
Source: the Alexandria database
Functional: PBE-GGA
Structure: optimized geometry

Unit cell a=5.967 b=5.967 c=10.609 alpha=116.91 beta=116.91 gamma=52.30
Element x y z (fractional)
Tl (0.000, 0.000, 0.000)
Cd (0.179, 0.179, 0.771)
Cd (0.417, 0.417, 0.685)
Cd (0.583, 0.583, 0.315)
Cd (0.821, 0.821, 0.229)
Ag (0.118, 0.118, 0.468)
Ag (0.295, 0.295, 0.086)
Ag (0.336, 0.336, 0.378)
Ag (0.500, 0.500, 0.000)
Ag (0.664, 0.664, 0.622)
Ag (0.705, 0.705, 0.914)
Ag (0.882, 0.882, 0.532)

- space-group type = C2/m (12)
- formation energy from the elements (eV/atom) = 0.093
- E (eV per atom) = -2.073
- DOS at the Fermi energy (states/eV/cell) = 3.84